[1]
# HgTe2Au (GGA-PBE, relaxed)
data_HgTe2Au
_cell_length_a 3.288
_cell_length_b 8.112
_cell_length_c 9.382
_cell_angle_alpha 90.00
_cell_angle_beta 110.29
_cell_angle_gamma 90.00
_space_group_name_H-M_alt 'P 1 21/c 1'
_space_group_IT_number 14
loop_
_space_group_symop_operation_xyz
'x,y,z'
'-x,-y,-z'
'-x,y+1/2,-z+1/2'
'x,-y+1/2,z+1/2'
loop_
_atom_site_label
_atom_site_type_symbol
_atom_site_fract_x
_atom_site_fract_y
_atom_site_fract_z
Hg1 Hg 0.000 0.000 0.000
Te1 Te 0.204 0.234 0.707
Au1 Au 0.000 0.000 0.500
# - E: -2.4811 eV/atom
# - Energy relative to the elements, uncorrected: -6 kJ/mol of formula units
# - N(E_F): 3.38 states/eV/cell



[2]
# SnPHO2 (GGA-PBE, relaxed)
data_SnPHO2
_cell_length_a 3.902
_cell_length_b 3.902
_cell_length_c 5.653
_cell_angle_alpha 90.00
_cell_angle_beta 90.00
_cell_angle_gamma 90.00
_space_group_name_H-M_alt 'P 4/m m m'
_space_group_IT_number 123
_space_group_name_Hall '-P 4 2'
loop_
_atom_site_label
_atom_site_type_symbol
_atom_site_fract_x
_atom_site_fract_y
_atom_site_fract_z
Sn1 Sn 0.000 0.000 0.000
P1 P 0.000 0.000 0.500
H1 H 0.500 0.500 0.500
O1 O 0.000 0.500 0.000
# - E: -4.1431 eV/atom
# - Distance to the lowest polymorph of the same formula: 140.6 meV per atom
# - N(E_F): 3.78 states/eV/cell



[3]
# CoPbSe2 (GGA-PBE, relaxed)
data_CoPbSe2
_cell_length_a 3.5092
_cell_length_b 3.5092
_cell_length_c 25.9640
_cell_angle_alpha 90.00
_cell_angle_beta 90.00
_cell_angle_gamma 120.00
_space_group_name_H-M_alt 'R -3 m'
_space_group_IT_number 166
_space_group_name_Hall '-R 3 2"'
loop_
_atom_site_label
_atom_site_type_symbol
_atom_site_fract_x
_atom_site_fract_y
_atom_site_fract_z
Co1 Co 0.0000 0.0000 0.0000
Pb1 Pb 0.0000 0.0000 0.5000
Se1 Se 0.0000 0.0000 0.3812
# - E: -4.7165 eV/atom
# - Energy relative to the elements, uncorrected: -104 kJ/mol of formula units
# - N(E_F): 9.35 states/eV/cell



[4]
# Tb8Sb2Ir3 (GGA-PBE, relaxed)
data_Tb8Sb2Ir3
_cell_length_a 15.872
_cell_length_b 8.028
_cell_length_c 6.871
_cell_angle_alpha 90.00
_cell_angle_beta 106.46
_cell_angle_gamma 90.00
_space_group_name_H-M_alt 'C 1 2/m 1'
_space_group_IT_number 12
loop_
_space_group_symop_operation_xyz
'x,y,z'
'-x,-y,-z'
'-x,y,-z'
'x,-y,z'
'x+1/2,y+1/2,z'
'-x+1/2,-y+1/2,-z'
'-x+1/2,y+1/2,-z'
'x+1/2,-y+1/2,z'
loop_
_atom_site_label
_atom_site_type_symbol
_atom_site_fract_x
_atom_site_fract_y
_atom_site_fract_z
Tb1 Tb 0.091 0.000 0.377
Tb2 Tb 0.098 0.500 0.407
Tb3 Tb 0.106 0.261 0.897
Sb1 Sb 0.242 0.000 0.165
Ir1 Ir 0.000 0.245 0.500
Ir2 Ir 0.000 0.500 0.000
# - E: -6.2029 eV/atom
# - Energy relative to the elements, uncorrected: -846 kJ/mol of formula units
# - N(E_F): 13.18 states/eV/cell



[5]
# Na4Tl4Au (GGA-PBE, relaxed)
data_Na4Tl4Au
_cell_length_a 10.382
_cell_length_b 10.382
_cell_length_c 4.466
_cell_angle_alpha 90.00
_cell_angle_beta 90.00
_cell_angle_gamma 90.00
_space_group_name_H-M_alt 'I 4/m m m'
_space_group_IT_number 139
_space_group_name_Hall '-I 4 2'
loop_
_atom_site_label
_atom_site_type_symbol
_atom_site_fract_x
_atom_site_fract_y
_atom_site_fract_z
Na1 Na 0.157 0.157 0.000
Tl1 Tl 0.000 0.328 0.500
Au1 Au 0.000 0.000 0.500
# - E: -2.1429 eV/atom
# - N(E_F): 5.77 states/eV/cell



[6]
# Na3SmNp2Se6 (GGA-PBE, relaxed)
data_Na3SmNp2Se6
_cell_length_a 7.287
_cell_length_b 12.621
_cell_length_c 7.399
_cell_angle_alpha 90.00
_cell_angle_beta 109.16
_cell_angle_gamma 90.00
_space_group_name_H-M_alt 'C 1 2/m 1'
_space_group_IT_number 12
loop_
_space_group_symop_operation_xyz
'x,y,z'
'-x,-y,-z'
'-x,y,-z'
'x,-y,z'
'x+1/2,y+1/2,z'
'-x+1/2,-y+1/2,-z'
'-x+1/2,y+1/2,-z'
'x+1/2,-y+1/2,z'
loop_
_atom_site_label
_atom_site_type_symbol
_atom_site_fract_x
_atom_site_fract_y
_atom_site_fract_z
Na1 Na 0.000 0.000 0.000
Na2 Na 0.000 0.334 0.000
Sm1 Sm 0.000 0.500 0.500
Np1 Np 0.000 0.167 0.500
Se1 Se 0.241 0.000 0.733
Se2 Se 0.246 0.332 0.732
# - E: -5.9790 eV/atom
# - Energy relative to the elements, uncorrected: -1571 kJ/mol of formula units
# - N(E_F): 43.17 states/eV/cell



[7]
# FeNi3Pd (GGA-PBE, relaxed)
data_FeNi3Pd
_cell_length_a 4.448
_cell_length_b 5.224
_cell_length_c 5.697
_cell_angle_alpha 76.78
_cell_angle_beta 75.73
_cell_angle_gamma 73.18
_space_group_name_H-M_alt 'P -1'
_space_group_IT_number 2
loop_
_space_group_symop_operation_xyz
'x,y,z'
'-x,-y,-z'
loop_
_atom_site_label
_atom_site_type_symbol
_atom_site_fract_x
_atom_site_fract_y
_atom_site_fract_z
Fe1 Fe 0.216 0.294 0.086
Ni1 Ni 0.200 0.798 0.091
Ni2 Ni 0.403 0.594 0.711
Ni3 Ni 0.406 0.094 0.711
Pd1 Pd 0.000 0.000 0.500
Pd2 Pd 0.000 0.500 0.500
# - E: -6.2265 eV/atom
# - Distance to the lowest polymorph of the same formula: 0.0 meV per atom
# - N(E_F): 9.20 states/eV/cell



[8]
# Na3Tl5In3 (GGA-PBE, relaxed)
data_Na3Tl5In3
_cell_length_a 10.6311
_cell_length_b 10.6311
_cell_length_c 3.4130
_cell_angle_alpha 90.00
_cell_angle_beta 90.00
_cell_angle_gamma 120.00
_space_group_name_H-M_alt 'P -6 2 m'
_space_group_IT_number 189
_space_group_name_Hall 'P -6 -2'
loop_
_atom_site_label
_atom_site_type_symbol
_atom_site_fract_x
_atom_site_fract_y
_atom_site_fract_z
Na1 Na 0.0000 0.4157 0.0000
Tl1 Tl 0.0000 0.1712 0.5000
Tl2 Tl 0.3333 0.6667 0.5000
In1 In 0.0000 0.6645 0.5000
# - E: -2.1404 eV/atom
# - Distance to the lowest polymorph of the same formula: 21.4 meV per atom
# - N(E_F): 5.33 states/eV/cell



[9]
# ThScIr (GGA-PBE, relaxed)
data_ThScIr
_cell_length_a 3.970
_cell_length_b 13.290
_cell_length_c 7.830
_cell_angle_alpha 90.00
_cell_angle_beta 90.00
_cell_angle_gamma 90.00
_space_group_name_H-M_alt 'A m m 2'
_space_group_IT_number 38
loop_
_space_group_symop_operation_xyz
'x,y,z'
'-x,-y,z'
'-x,y,z'
'x,-y,z'
'x,y+1/2,z+1/2'
'-x,-y+1/2,z+1/2'
'-x,y+1/2,z+1/2'
'x,-y+1/2,z+1/2'
loop_
_atom_site_label
_atom_site_type_symbol
_atom_site_fract_x
_atom_site_fract_y
_atom_site_fract_z
Th1 Th 0.000 0.000 0.000
Th2 Th 0.000 0.214 0.631
Sc1 Sc 0.500 0.000 0.670
Sc2 Sc 0.500 0.116 0.299
Ir1 Ir 0.000 0.000 0.441
Ir2 Ir 0.500 0.170 0.913
# - E: -8.2772 eV/atom
# - Distance to the lowest polymorph of the same formula: 0.0 meV per atom
# - N(E_F): 14.22 states/eV/cell



[10]
# TmZrSi2O8 (GGA-PBE, relaxed)
data_TmZrSi2O8
_cell_length_a 6.812
_cell_length_b 6.812
_cell_length_c 6.100
_cell_angle_alpha 90.00
_cell_angle_beta 90.00
_cell_angle_gamma 90.00
_space_group_name_H-M_alt 'I -4 m 2'
_space_group_IT_number 119
_space_group_name_Hall 'I -4 -2'
loop_
_atom_site_label
_atom_site_type_symbol
_atom_site_fract_x
_atom_site_fract_y
_atom_site_fract_z
Tm1 Tm 0.000 0.000 0.000
Zr1 Zr 0.000 0.500 0.750
Si1 Si 0.000 0.000 0.500
Si2 Si 0.000 0.500 0.250
O1 O 0.000 0.187 0.670
O2 O 0.000 0.321 0.071
# - E: -8.2462 eV/atom
# - Energy relative to the elements, uncorrected: -3418 kJ/mol of formula units
# - N(E_F): 16.60 states/eV/cell



[11]
# CdAgP2S (GGA-PBE, relaxed)
data_CdAgP2S
_cell_length_a 4.822
_cell_length_b 4.822
_cell_length_c 4.964
_cell_angle_alpha 90.00
_cell_angle_beta 90.00
_cell_angle_gamma 90.00
_space_group_name_H-M_alt 'P 4/m m m'
_space_group_IT_number 123
_space_group_name_Hall '-P 4 2'
loop_
_atom_site_label
_atom_site_type_symbol
_atom_site_fract_x
_atom_site_fract_y
_atom_site_fract_z
Cd1 Cd 0.000 0.000 0.000
Ag1 Ag 0.500 0.500 0.500
P1 P 0.000 0.500 0.500
S1 S 0.500 0.500 0.000
# - E: -2.7759 eV/atom
# - Energy relative to the elements, uncorrected: 466 kJ/mol of formula units
# - Distance to the lowest polymorph of the same formula: 0.0 meV per atom
# - N(E_F): 4.17 states/eV/cell



[12]
# Ce2Ni4As3Pt (GGA-PBE, relaxed)
data_Ce2Ni4As3Pt
_cell_length_a 4.063
_cell_length_b 4.063
_cell_length_c 10.030
_cell_angle_alpha 90.00
_cell_angle_beta 90.00
_cell_angle_gamma 90.00
_space_group_name_H-M_alt 'P -4 m 2'
_space_group_IT_number 115
loop_
_space_group_symop_operation_xyz
'x,y,z'
'y,-x,-z'
'-x,-y,z'
'-y,x,-z'
'-x,y,z'
'-y,-x,-z'
'x,-y,z'
'y,x,-z'
loop_
_atom_site_label
_atom_site_type_symbol
_atom_site_fract_x
_atom_site_fract_y
_atom_site_fract_z
Ce1 Ce 0.000 0.500 0.250
Ni1 Ni 0.000 0.000 0.000
Ni2 Ni 0.000 0.500 0.647
Ni3 Ni 0.500 0.500 0.000
As1 As 0.000 0.500 0.875
As2 As 0.500 0.500 0.500
Pt1 Pt 0.000 0.000 0.500
# - E: -6.2704 eV/atom
# - N(E_F): 9.50 states/eV/cell



[13]
# Li2FeAs (GGA-PBE, relaxed)
data_Li2FeAs
_cell_length_a 2.682
_cell_length_b 2.682
_cell_length_c 8.211
_cell_angle_alpha 90.00
_cell_angle_beta 90.00
_cell_angle_gamma 90.00
_space_group_name_H-M_alt 'P 4/m m m'
_space_group_IT_number 123
_space_group_name_Hall '-P 4 2'
loop_
_atom_site_label
_atom_site_type_symbol
_atom_site_fract_x
_atom_site_fract_y
_atom_site_fract_z
Li1 Li 0.000 0.000 0.241
Fe1 Fe 0.500 0.500 0.500
As1 As 0.500 0.500 0.000
# - E: -4.2206 eV/atom
# - N(E_F): 2.45 states/eV/cell



[14]
# NdThCuOs (GGA-PBE, relaxed)
data_NdThCuOs
_cell_length_a 7.128
_cell_length_b 7.128
_cell_length_c 7.128
_cell_angle_alpha 90.00
_cell_angle_beta 90.00
_cell_angle_gamma 90.00
_space_group_name_H-M_alt 'F -4 3 m'
_space_group_IT_number 216
_space_group_name_Hall 'F -4 2 3'
loop_
_atom_site_label
_atom_site_type_symbol
_atom_site_fract_x
_atom_site_fract_y
_atom_site_fract_z
Nd1 Nd 0.000 0.000 0.000
Th1 Th 0.000 0.000 0.500
Cu1 Cu 0.250 0.250 0.750
Os1 Os 0.250 0.250 0.250
# - E: -6.9917 eV/atom
# - N(E_F): 19.83 states/eV/cell



[15]
# AcEr2TiN4 (GGA-PBE, relaxed)
data_AcEr2TiN4
_cell_length_a 3.471
_cell_length_b 12.051
_cell_length_c 11.788
_cell_angle_alpha 90.00
_cell_angle_beta 90.00
_cell_angle_gamma 90.00
_space_group_name_H-M_alt 'C m c m'
_space_group_IT_number 63
_space_group_name_Hall '-C 2c 2'
loop_
_atom_site_label
_atom_site_type_symbol
_atom_site_fract_x
_atom_site_fract_y
_atom_site_fract_z
Ac1 Ac 0.000 0.093 0.250
Er1 Er 0.000 0.371 0.040
Ti1 Ti 0.000 0.170 0.750
N1 N 0.000 0.000 0.000
N2 N 0.000 0.261 0.620
N3 N 0.000 0.419 0.250
# - E: -8.2922 eV/atom
# - Energy relative to the elements, uncorrected: -1149 kJ/mol of formula units
# - N(E_F): 10.95 states/eV/cell



[16]
# Nd4Zn3In (GGA-PBE, relaxed)
data_Nd4Zn3In
_cell_length_a 3.732
_cell_length_b 5.301
_cell_length_c 10.595
_cell_angle_alpha 90.00
_cell_angle_beta 90.00
_cell_angle_gamma 90.00
_space_group_name_H-M_alt 'P m m m'
_space_group_IT_number 47
loop_
_space_group_symop_operation_xyz
'x,y,z'
'-x,-y,-z'
'-x,-y,z'
'x,y,-z'
'x,-y,-z'
'-x,y,z'
'-x,y,-z'
'x,-y,z'
loop_
_atom_site_label
_atom_site_type_symbol
_atom_site_fract_x
_atom_site_fract_y
_atom_site_fract_z
Nd1 Nd 0.000 0.000 0.000
Nd2 Nd 0.000 0.000 0.500
Nd3 Nd 0.000 0.500 0.239
Zn1 Zn 0.500 0.000 0.248
Zn2 Zn 0.500 0.500 0.000
In1 In 0.500 0.500 0.500
# - E: -3.5404 eV/atom
# - Distance to the lowest polymorph of the same formula: 0.0 meV per atom
# - N(E_F): 9.91 states/eV/cell



[17]
# FeRe3 (GGA-PBE, relaxed)
data_FeRe3
_cell_length_a 2.736
_cell_length_b 4.352
_cell_length_c 4.710
_cell_angle_alpha 90.00
_cell_angle_beta 90.00
_cell_angle_gamma 90.00
_space_group_name_H-M_alt 'P m m 2'
_space_group_IT_number 25
loop_
_space_group_symop_operation_xyz
'x,y,z'
'-x,-y,z'
'-x,y,z'
'x,-y,z'
loop_
_atom_site_label
_atom_site_type_symbol
_atom_site_fract_x
_atom_site_fract_y
_atom_site_fract_z
Fe1 Fe 0.000 0.000 0.000
Re1 Re 0.000 0.500 0.337
Re2 Re 0.500 0.000 0.513
Re3 Re 0.500 0.500 0.850
# - E: -11.4076 eV/atom
# - N(E_F): 3.81 states/eV/cell



[18]
# LaNd4Dy3 (GGA-PBE, relaxed)
data_LaNd4Dy3
_cell_length_a 11.725
_cell_length_b 7.380
_cell_length_c 6.369
_cell_angle_alpha 90.00
_cell_angle_beta 90.00
_cell_angle_gamma 90.00
_space_group_name_H-M_alt 'P m n 21'
_space_group_IT_number 31
loop_
_space_group_symop_operation_xyz
'x,y,z'
'-x+1/2,-y,z+1/2'
'-x,y,z'
'x+1/2,-y,z+1/2'
loop_
_atom_site_label
_atom_site_type_symbol
_atom_site_fract_x
_atom_site_fract_y
_atom_site_fract_z
La1 La 0.000 0.125 0.000
Nd1 Nd 0.000 0.373 0.507
Nd2 Nd 0.000 0.629 0.998
Nd3 Nd 0.246 0.626 0.336
Dy1 Dy 0.000 0.876 0.502
Dy2 Dy 0.249 0.122 0.335
# - E: -4.6935 eV/atom
# - Distance to the lowest polymorph of the same formula: 0.0 meV per atom
# - N(E_F): 28.46 states/eV/cell



[19]
# TmTiCdAg (GGA-PBE, relaxed)
data_TmTiCdAg
_cell_length_a 6.985
_cell_length_b 6.985
_cell_length_c 6.985
_cell_angle_alpha 90.00
_cell_angle_beta 90.00
_cell_angle_gamma 90.00
_space_group_name_H-M_alt 'F -4 3 m'
_space_group_IT_number 216
_space_group_name_Hall 'F -4 2 3'
loop_
_atom_site_label
_atom_site_type_symbol
_atom_site_fract_x
_atom_site_fract_y
_atom_site_fract_z
Tm1 Tm 0.000 0.000 0.000
Ti1 Ti 0.000 0.000 0.500
Cd1 Cd 0.250 0.250 0.250
Ag1 Ag 0.250 0.250 0.750
# - E: -4.0701 eV/atom
# - N(E_F): 12.74 states/eV/cell



[20]
# BaCl (GGA-PBE, relaxed)
data_BaCl
_cell_length_a 5.1349
_cell_length_b 5.1349
_cell_length_c 22.5217
_cell_angle_alpha 90.00
_cell_angle_beta 90.00
_cell_angle_gamma 120.00
_space_group_name_H-M_alt 'R -3 m'
_space_group_IT_number 166
_space_group_name_Hall '-R 3 2"'
loop_
_atom_site_label
_atom_site_type_symbol
_atom_site_fract_x
_atom_site_fract_y
_atom_site_fract_z
Ba1 Ba 0.0000 0.0000 0.0797
Cl1 Cl 0.0000 0.0000 0.3333
# - E: -3.3059 eV/atom
# - Energy relative to the elements, uncorrected: -274 kJ/mol of formula units
# - N(E_F): 8.05 states/eV/cell



[21]
# Sr2LiP3Rh12 (GGA-PBE, relaxed)
data_Sr2LiP3Rh12
_cell_length_a 8.8537
_cell_length_b 8.8537
_cell_length_c 12.9834
_cell_angle_alpha 90.00
_cell_angle_beta 90.00
_cell_angle_gamma 120.00
_space_group_name_H-M_alt 'R -3 m'
_space_group_IT_number 166
_space_group_name_Hall '-R 3 2"'
loop_
_atom_site_label
_atom_site_type_symbol
_atom_site_fract_x
_atom_site_fract_y
_atom_site_fract_z
Sr1 Sr 0.0000 0.0000 0.1156
Li1 Li 0.0000 0.0000 0.5000
P1 P 0.0000 0.5000 0.0000
Rh1 Rh 0.0063 0.5032 0.1717
Rh2 Rh 0.0437 0.5219 0.3794
# - E: -6.1975 eV/atom
# - N(E_F): 41.65 states/eV/cell



[22]
# Tb2Sm2Ga3 (GGA-PBE, relaxed)
data_Tb2Sm2Ga3
_cell_length_a 3.717
_cell_length_b 6.003
_cell_length_c 8.195
_cell_angle_alpha 92.92
_cell_angle_beta 90.01
_cell_angle_gamma 108.00
_space_group_name_H-M_alt 'P -1'
_space_group_IT_number 2
loop_
_space_group_symop_operation_xyz
'x,y,z'
'-x,-y,-z'
loop_
_atom_site_label
_atom_site_type_symbol
_atom_site_fract_x
_atom_site_fract_y
_atom_site_fract_z
Tb1 Tb 0.060 0.120 0.198
Sm1 Sm 0.203 0.405 0.666
Ga1 Ga 0.331 0.662 0.041
Ga2 Ga 0.500 0.000 0.500
# - E: -4.4021 eV/atom
# - N(E_F): 5.15 states/eV/cell



[23]
# LiYHoAu (GGA-PBE, relaxed)
data_LiYHoAu
_cell_length_a 7.204
_cell_length_b 7.204
_cell_length_c 7.204
_cell_angle_alpha 90.00
_cell_angle_beta 90.00
_cell_angle_gamma 90.00
_space_group_name_H-M_alt 'F -4 3 m'
_space_group_IT_number 216
_space_group_name_Hall 'F -4 2 3'
loop_
_atom_site_label
_atom_site_type_symbol
_atom_site_fract_x
_atom_site_fract_y
_atom_site_fract_z
Li1 Li 0.000 0.000 0.000
Y1 Y 0.250 0.250 0.750
Ho1 Ho 0.250 0.250 0.250
Au1 Au 0.000 0.000 0.500
# - E: -4.4751 eV/atom
# - N(E_F): 9.69 states/eV/cell